[1]
The following is a DFT calculation (PBE) of a relaxed Co2HPd crystal.

energy = -5.64 eV/atom
density of states at the Fermi level = 1.03 states/eV per atom

abc: 2.681 2.681 6.533
angles: 78.16 78.16 60.00
Each line ends with the local moment (μB).
Positions (direct):
1 Co 0.719 0.719 0.843  1.63
2 Co 0.281 0.281 0.157  1.63
3 Pd 0.500 0.500 0.500  0.32
4 H 0.000 0.000 0.000  -0.01

=====

[2]
The following is a DFT calculation (PBE) of a relaxed CdIn4Pb7 crystal.

energy = -3.13 eV/atom
density of states at the Fermi level = 0.55 states/eV per atom
ΔE_f = 26 meV per atom

abc: 3.558 9.000 12.641
angles: 115.67 90.00 101.40
Positions (direct):
1 Pb 0.333 0.665 0.995
2 Pb 0.497 0.994 0.500
3 Pb 0.037 0.073 0.755
4 Pb 0.965 0.930 0.245
5 Pb 0.364 0.727 0.738
6 Pb 0.637 0.274 0.258
7 Pb 0.669 0.338 0.007
8 In 0.699 0.397 0.745
9 In 0.303 0.605 0.261
10 In 0.000 0.999 0.998
11 In 0.170 0.340 0.505
12 Cd 0.828 0.657 0.494

=====

[3]
The following is a DFT calculation (PBE) of a relaxed NdSmYZr crystal.

energy = -5.88 eV/atom
density of states at the Fermi level = 2.13 states/eV per atom
ΔE_f = 244 meV per atom

abc: 5.578 5.578 5.578
angles: 60.00 60.00 60.00
Each line ends with the local moment (μB).
Positions (direct):
1 Y 0.750 0.750 0.750  0.16
2 Sm 0.250 0.250 0.250  0.16
3 Zr 0.000 0.000 0.000  0.72
4 Nd 0.500 0.500 0.500  0.01

=====

[4]
The following is a DFT calculation (PBE) of a relaxed NdCuPd crystal.

energy = -5.22 eV/atom
density of states at the Fermi level = 0.45 states/eV per atom
ΔE_f = -534 meV per atom

abc: 3.721 4.416 4.416
angles: 120.00 90.00 90.00
Positions (direct):
1 Pd 0.167 0.000 0.000
2 Cu 0.166 0.667 0.333
3 Nd 0.667 0.333 0.667

=====

[5]
The following is a DFT calculation (PBE) of a relaxed PrThMg crystal.

energy = -4.63 eV/atom
density of states at the Fermi level = 1.27 states/eV per atom
ΔE_f = -27 meV per atom

abc: 3.594 3.594 14.201
angles: 90.00 90.00 90.00
Positions (direct):
1 Th 0.500 0.000 0.414
2 Th 0.000 0.500 0.586
3 Mg 0.500 0.000 0.064
4 Mg 0.000 0.500 0.936
5 Pr 0.500 0.000 0.767
6 Pr 0.000 0.500 0.233

=====

[6]
The following is a DFT calculation (PBE) of a relaxed ThMg4Ti crystal.

energy = -3.46 eV/atom
density of states at the Fermi level = 0.99 states/eV per atom
ΔE_f = 158 meV per atom

abc: 5.858 5.858 5.858
angles: 60.00 60.00 60.00
Each line ends with the local moment (μB).
Positions (direct):
1 Th 0.250 0.250 0.250  0.25
2 Mg 0.124 0.625 0.625  0.00
3 Mg 0.625 0.625 0.625  0.00
4 Mg 0.625 0.625 0.124  0.00
5 Mg 0.625 0.124 0.625  0.00
6 Ti 0.000 0.000 0.000  1.51